## CoMo2Pb (GGA-PBEsol)

Data for CoMo2Pb after structural relaxation.

V   15.934 Å³/atom
Uncorrected energy   -8.111 eV/atom
Formation enthalpy at 0 K   0.7066 eV/atom

Unit cell a=5.1722 b=8.8318 c=2.8529 alpha=90.00 beta=102.01 gamma=90.00
With the nearest neighbours (Å) after each atom.
Space group C2/m (No. 12)
Asymmetric unit:
Co  0.0000  0.0000  0.0000  2 Pb 2.59, 4 Mo 2.80, 2 Co 2.85
Mo  0.2500  0.2500  0.5000  4 Mo 2.59-2.85, 2 Co 2.80, 2 Pb 2.80
Pb  0.0000  0.5000  0.0000  2 Co 2.59, 4 Mo 2.80, 2 Pb 2.85

=====

## CoMo2Pb (GGA-PBEsol)

Data for CoMo2Pb after structural relaxation.

V   15.441 Å³/atom
Uncorrected energy   -8.372 eV/atom
Formation enthalpy at 0 K   0.4455 eV/atom

Unit cell a=3.7063 b=3.8175 c=8.7309 alpha=90.00 beta=90.00 gamma=90.00
With the nearest neighbours (Å) after each atom.
Space group Immm (No. 71)
Asymmetric unit:
Co  0.0000  0.0000  0.0000  4 Pb 2.66, 8 Mo 2.86-2.90
Mo  0.0000  0.5000  0.2508  4 Mo 2.66, 4 Co 2.86-2.90, 4 Pb 2.87-2.89
Pb  0.0000  0.0000  0.5000  4 Co 2.66, 8 Mo 2.87-2.89

=====

## CoMoPb2 (GGA-PBEsol)

Data for CoMoPb2 after structural relaxation.

Distance to the lowest polymorph of the same formula   0 meV per atom
V   19.347 Å³/atom
Uncorrected energy   -6.380 eV/atom
Formation enthalpy at 0 K   0.4954 eV/atom

Unit cell a=4.0695 b=3.7553 c=10.1281 alpha=90.00 beta=90.00 gamma=90.00
With the nearest neighbours (Å) after each atom.
Space group Amm2 (No. 38)
Asymmetric unit:
Co  0.0000  0.0000  0.0000  2 Mo 2.39
Mo  0.5000  0.0000  0.8771  2 Co 2.39
Pb  0.0000  0.0000  0.2886  3 Co 2.85-2.92, 4 Mo 2.91
Pb  0.5000  0.0000  0.5910  3 Mo 2.87-2.90, 4 Co 2.92

=====

## CoMoPb (GGA-PBEsol)

Data for CoMoPb after structural relaxation.

V   17.102 Å³/atom
Uncorrected energy   -7.165 eV/atom
Formation enthalpy at 0 K   0.6695 eV/atom

Unit cell a=3.0584 b=3.0584 c=6.3333 alpha=90.00 beta=90.00 gamma=120.00
With the nearest neighbours (Å) after each atom.
Space group P3m1 (No. 156)
Asymmetric unit:
Co  0.0000  0.0000  0.0000  3 Mo 2.39
Mo  0.3333  0.6667  0.7459  3 Co 2.39
Pb  0.6667  0.3333  0.3540  3 Co 2.85, 3 Mo 3.05, 6 Pb 3.06

=====

## CoMo2Pb (GGA-PBEsol)

Data for CoMo2Pb after structural relaxation.

V   15.666 Å³/atom
Uncorrected energy   -8.277 eV/atom
Formation enthalpy at 0 K   0.5411 eV/atom

Unit cell a=3.4096 b=4.4490 c=8.2619 alpha=90.00 beta=90.00 gamma=90.00
With the nearest neighbours (Å) after each atom.
Space group Imm2 (No. 44)
Asymmetric unit:
Co  0.0000  0.0000  0.0000  6 Mo 2.61-2.81, 2 Pb 2.63
Mo  0.0000  0.0000  0.5170  2 Mo 2.64, 4 Co 2.81, 4 Pb 2.84-2.90
Mo  0.0000  0.5000  0.2613  2 Co 2.61, 2 Mo 2.64, 4 Pb 2.81
Pb  0.0000  0.5000  0.7427  2 Co 2.63, 8 Mo 2.81-2.90

=====

## CoMoPb2 (GGA-PBEsol)

Data for CoMoPb2 after structural relaxation.

Distance to the lowest polymorph of the same formula   328 meV per atom
V   18.499 Å³/atom
Uncorrected energy   -6.052 eV/atom
Formation enthalpy at 0 K   0.8234 eV/atom

Unit cell a=3.9460 b=3.9460 c=9.5042 alpha=90.00 beta=90.00 gamma=90.00
With the nearest neighbours (Å) after each atom.
Space group I-4m2 (No. 119)
Asymmetric unit:
Co  0.0000  0.0000  0.0000  8 Pb 2.79-3.09, 4 Mo 3.09
Mo  0.0000  0.5000  0.2500  8 Pb 2.79-3.09, 4 Co 3.09
Pb  0.0000  0.0000  0.5000  4 Co 2.79, 4 Pb 3.09, 4 Mo 3.09
Pb  0.0000  0.5000  0.7500  4 Mo 2.79, 4 Co 3.09, 4 Pb 3.09